No. 1
This record from the Alexandria database describes crystalline LiLa3Pb at its relaxed geometry. The functional is GGA-PBEsol.

```
LiLa3Pb
1.0
6.1159 0.0000 0.0000
0.0000 6.1159 0.0000
0.0000 0.0000 6.1159
Pb La Li
1 3 1
direct
0.0000 0.0000 0.0000 Pb
0.0000 0.0000 0.5000 La
0.5000 0.0000 0.0000 La
0.0000 0.5000 0.0000 La
0.5000 0.5000 0.5000 Li
```

Total magnetization (μB per cell): 1.97
Space-group type: No. 221
ΔE_f (eV/f.u.): 1.80
Crystal system: cubic

---

No. 2
This record from the Alexandria database describes crystalline TaRh2Au at its relaxed geometry. The functional is GGA-PBEsol.

```
TaRh2Au
1.0
-3.5513 -1.9405 -1.7946
-0.3040 -4.4157 -0.0840
-2.9380 -2.0661 2.5879
Ta Au Rh
1 1 2
direct
0.2500 0.2500 0.2500 Ta
0.5000 0.5000 0.5000 Au
0.7500 0.7500 0.7500 Rh
0.0000 0.0000 0.0000 Rh
```

Total magnetization (μB per cell): 0.00
Space-group type: No. 216
ΔE_f (eV/f.u.): -0.19
Crystal system: cubic